Record 1
Material: BaCaCr2
Method: DFT, PBE-GGA
State: optimized geometry

The space group is P4/mmm (No. 123) and the conventional cell measures 5.7198, 5.7198 and 3.8561 Å, with angles of 90.00, 90.00 and 90.00 degrees. The distinct sites, in fractional coordinates, are Ba at (0.0000, 0.0000, 0.0000), Ca at (0.5000, 0.5000, 0.0000) and Cr at (0.0000, 0.5000, 0.5000).

Its formation energy is 829.2 meV per atom. The total energy is -19.9 eV per cell. The value obtained for the relative energy among the computed polymorphs is 339.0 meV/atom.


Record 2
Material: Y2HgRh
Method: DFT, PBE-GGA
State: optimized geometry

The space group is C2/m (No. 12) and the conventional cell measures 6.8553, 3.9473 and 8.0498 Å, with angles of 90.00, 106.38 and 90.00 degrees. The distinct sites, in fractional coordinates, are Y at (0.2348, 0.0000, 0.2047), Hg at (0.0000, 0.0000, 0.5000) and Rh at (0.0000, 0.5000, 0.0000).

Its formation energy is -585.5 meV per atom. The total energy is -45.8 eV per cell.


Record 3
Material: YVIn3
Method: DFT, PBE-GGA
State: optimized geometry

The space group is Pm-3m (No. 221) and the conventional cell measures 5.1018, 5.1018 and 5.1018 Å, with angles of 90.00, 90.00 and 90.00 degrees. The distinct sites, in fractional coordinates, are Y at (0.0000, 0.0000, 0.0000), V at (0.5000, 0.5000, 0.5000) and In at (0.0000, 0.5000, 0.5000).

Its formation energy is 202.7 meV per atom. The total energy is -22.8 eV per cell. The value obtained for the relative energy among the computed polymorphs is 0.0 meV/atom.